(1)
A plane-wave DFT calculation with GGA-PBE was carried out for an optimized crystal structure of ZrOs2Cl.

abc: 6.478 6.478 6.478
angles: 90.00 90.00 90.00
Element x y z (fractional)
Zr (0.000, 0.000, 0.000)
Zr (0.000, 0.500, 0.500)
Zr (0.500, 0.000, 0.500)
Zr (0.500, 0.500, 0.000)
Os (0.250, 0.250, 0.250)
Os (0.250, 0.250, 0.750)
Os (0.250, 0.750, 0.250)
Os (0.250, 0.750, 0.750)
Os (0.750, 0.250, 0.250)
Os (0.750, 0.250, 0.750)
Os (0.750, 0.750, 0.250)
Os (0.750, 0.750, 0.750)
Cl (0.000, 0.000, 0.500)
Cl (0.000, 0.500, 0.000)
Cl (0.500, 0.000, 0.000)
Cl (0.500, 0.500, 0.500)

## Properties
The raw formation energy comes out at 0.93 eV/atom. Its polymorph energy (0 for the lowest one) is 960 meV/atom. Its space-group type is Fm-3m (225).



(2)
A plane-wave DFT calculation with GGA-PBE was carried out for an optimized crystal structure of Y3SiS6.

abc: 8.500 8.500 6.454
angles: 90.00 90.00 102.15
Element x y z (fractional)
Y (0.093, 0.907, 0.500)
Y (0.223, 0.414, 0.404)
Y (0.414, 0.223, 0.904)
Y (0.586, 0.777, 0.404)
Y (0.777, 0.586, 0.904)
Y (0.907, 0.093, 0.000)
Si (0.298, 0.702, 0.858)
Si (0.702, 0.298, 0.358)
S (0.075, 0.604, 0.698)
S (0.128, 0.197, 0.702)
S (0.197, 0.128, 0.202)
S (0.289, 0.711, 0.193)
S (0.396, 0.925, 0.698)
S (0.454, 0.546, 0.740)
S (0.546, 0.454, 0.240)
S (0.604, 0.075, 0.198)
S (0.711, 0.289, 0.693)
S (0.803, 0.872, 0.702)
S (0.872, 0.803, 0.202)
S (0.925, 0.396, 0.198)

## Properties
The raw formation energy comes out at -1.61 eV/atom. Its space-group type is Cmc2_1 (36).



(3)
A plane-wave DFT calculation with GGA-PBE was carried out for an optimized crystal structure of Rb3LaSb2O8.

abc: 6.388 6.388 8.169
angles: 90.00 90.00 120.00
Element x y z (fractional)
Rb (0.000, 0.000, 0.000)
Rb (0.333, 0.667, 0.680)
Rb (0.667, 0.333, 0.320)
La (0.000, 0.000, 0.500)
Sb (0.333, 0.667, 0.231)
Sb (0.667, 0.333, 0.769)
O (0.174, 0.348, 0.325)
O (0.174, 0.826, 0.325)
O (0.333, 0.667, 0.003)
O (0.348, 0.174, 0.675)
O (0.652, 0.826, 0.325)
O (0.667, 0.333, 0.997)
O (0.826, 0.174, 0.675)
O (0.826, 0.652, 0.675)

## Properties
The raw formation energy comes out at -1.88 eV/atom. Its space-group type is P-3m1 (164).



(4)
A plane-wave DFT calculation with GGA-PBE was carried out for an optimized crystal structure of Pm3H3N.

abc: 7.109 7.109 7.109
angles: 54.57 54.57 54.57
Element x y z (fractional)
Pm (0.081, 0.430, 0.728)
Pm (0.272, 0.919, 0.570)
Pm (0.430, 0.728, 0.081)
Pm (0.570, 0.272, 0.919)
Pm (0.728, 0.081, 0.430)
Pm (0.919, 0.570, 0.272)
H (0.124, 0.803, 0.445)
H (0.197, 0.555, 0.876)
H (0.445, 0.124, 0.803)
H (0.555, 0.876, 0.197)
H (0.803, 0.445, 0.124)
H (0.876, 0.197, 0.555)
N (0.333, 0.333, 0.333)
N (0.667, 0.667, 0.667)

## Properties
The electronic total energy is -5.472 eV/atom. Its space-group type is R-3 (148).



(5)
A plane-wave DFT calculation with GGA-PBE was carried out for an optimized crystal structure of BaBe2Cu.

abc: 3.943 3.943 17.349
angles: 90.00 90.00 120.00
Element x y z (fractional)
Ba (0.000, 0.000, 0.000)
Ba (0.333, 0.667, 0.667)
Ba (0.667, 0.333, 0.333)
Be (0.000, 0.000, 0.179)
Be (0.000, 0.000, 0.821)
Be (0.333, 0.667, 0.488)
Be (0.333, 0.667, 0.846)
Be (0.667, 0.333, 0.154)
Be (0.667, 0.333, 0.512)
Cu (0.000, 0.000, 0.500)
Cu (0.333, 0.667, 0.167)
Cu (0.667, 0.333, 0.833)

## Properties
Its polymorph energy (0 for the lowest one) is 9 meV/atom. Its space-group type is R-3m (166).



(6)
A plane-wave DFT calculation with GGA-PBE was carried out for an optimized crystal structure of KMo4Se.

abc: 5.455 5.455 5.455
angles: 60.00 60.00 60.00
Element x y z (fractional)
K (0.000, 0.000, 0.000)
Mo (0.135, 0.622, 0.622)
Mo (0.622, 0.135, 0.622)
Mo (0.622, 0.622, 0.135)
Mo (0.622, 0.622, 0.622)
Se (0.250, 0.250, 0.250)

## Properties
The raw formation energy comes out at 1.09 eV/atom. Its space-group type is F-43m (216).